The following is a GGA-PBE calculation of a geometry-optimized PRuCO2 structure, from the Alexandria database.

- space group = No. 123
- D(E_F) (states/eV per atom) = 0.693
- offset from the most stable computed form (meV per atom) = 260
- formation energy (no corrections) (eV/atom) = 1.087

Lattice parameters (Å, degrees): 3.574 3.574 3.824 90.00 90.00 90.00
Element x y z (fractional)
P 0.000 0.000 0.000
Ru 0.500 0.500 0.000
C 0.000 0.000 0.500
O 0.000 0.500 0.500
O 0.500 0.000 0.500

The following is a GGA-PBE calculation of a geometry-optimized Y2ErPuS4 structure, from the Alexandria database.

- space group = No. 10
- D(E_F) (states/eV per atom) = 0.915
- formation energy (no corrections) (eV/atom) = -1.953

Lattice parameters (Å, degrees): 6.782 3.900 6.785 90.00 109.22 90.00
Element x y z (fractional)
Y 0.000 0.000 0.000
Y 0.000 0.500 0.500
Er 0.500 0.000 0.500
Pu 0.500 0.500 0.000
S 0.250 0.000 0.747
S 0.252 0.500 0.254
S 0.748 0.500 0.746
S 0.750 0.000 0.253

The following is a GGA-PBE calculation of a geometry-optimized Nd2DyThAs4 structure, from the Alexandria database.

- space group = No. 10
- DFT formation energy (eV/f.u.) = -12.08
- D(E_F) (states/eV per atom) = 0.189

Lattice parameters (Å, degrees): 7.312 4.236 7.339 90.00 109.44 90.00
Element x y z (fractional)
Nd 0.000 0.000 0.000
Nd 0.500 0.500 0.000
Dy 0.000 0.500 0.500
Th 0.500 0.000 0.500
As 0.245 0.000 0.742
As 0.249 0.500 0.255
As 0.751 0.500 0.745
As 0.755 0.000 0.258

The following is a GGA-PBE calculation of a geometry-optimized Ba2CeBr8 structure, from the Alexandria database.

- space group = No. 12
- offset from the most stable computed form (meV per atom) = 17
- formation energy (no corrections) (eV/atom) = -1.843

Lattice parameters (Å, degrees): 11.170 11.170 7.044 102.02 102.02 26.40
Element x y z (fractional)
Ba 0.167 0.167 0.156
Ba 0.833 0.833 0.844
Ce 0.500 0.500 0.500
Br 0.020 0.020 0.285
Br 0.233 0.233 0.773
Br 0.373 0.373 0.571
Br 0.415 0.415 0.115
Br 0.585 0.585 0.885
Br 0.627 0.627 0.429
Br 0.767 0.767 0.227
Br 0.980 0.980 0.715

The following is a GGA-PBE calculation of a geometry-optimized BaTaAs structure, from the Alexandria database.

- space group = No. 216
- DFT formation energy (eV/f.u.) = 1.94
- D(E_F) (states/eV per atom) = 0.629
- offset from the most stable computed form (meV per atom) = 1272

Lattice parameters (Å, degrees): 4.965 4.965 4.965 60.00 60.00 60.00
Element x y z (fractional)
Ba 0.000 0.000 0.000
Ta 0.500 0.500 0.500
As 0.750 0.750 0.750

The following is a GGA-PBE calculation of a geometry-optimized CaV2Cr structure, from the Alexandria database.

- space group = No. 141
- DFT formation energy (eV/f.u.) = 4.61
- D(E_F) (states/eV per atom) = 1.252
- offset from the most stable computed form (meV per atom) = 338

Lattice parameters (Å, degrees): 9.693 9.693 9.693 153.77 153.77 37.43
Element x y z (fractional)
Ca 0.375 0.625 0.750
Ca 0.625 0.375 0.250
V 0.000 0.000 0.000
V 0.000 0.000 0.500
V 0.000 0.500 0.000
V 0.500 0.000 0.500
Cr 0.125 0.875 0.250
Cr 0.875 0.125 0.750

The following is a GGA-PBE calculation of a geometry-optimized NaIn7Pb12 structure, from the Alexandria database.

- space group = No. 148
- DFT formation energy (eV/f.u.) = 0.29
- D(E_F) (states/eV per atom) = 0.387
- offset from the most stable computed form (meV per atom) = 0

Lattice parameters (Å, degrees): 8.704 8.704 8.704 103.30 103.30 103.30
Element x y z (fractional)
Na 0.000 0.000 0.000
In 0.090 0.680 0.093
In 0.093 0.090 0.680
In 0.320 0.907 0.910
In 0.500 0.500 0.500
In 0.680 0.093 0.090
In 0.907 0.910 0.320
In 0.910 0.320 0.907
Pb 0.083 0.337 0.333
Pb 0.240 0.498 0.759
Pb 0.241 0.760 0.502
Pb 0.333 0.083 0.337
Pb 0.337 0.333 0.083
Pb 0.498 0.759 0.240
Pb 0.502 0.241 0.760
Pb 0.663 0.667 0.917
Pb 0.667 0.917 0.663
Pb 0.759 0.240 0.498
Pb 0.760 0.502 0.241
Pb 0.917 0.663 0.667

The following is a GGA-PBE calculation of a geometry-optimized HfMo2Ir structure, from the Alexandria database.

- space group = No. 122
- DFT formation energy (eV/f.u.) = 1.26
- D(E_F) (states/eV per atom) = 0.748
- offset from the most stable computed form (meV per atom) = 308

Lattice parameters (Å, degrees): 5.929 5.929 5.929 100.99 100.99 128.23
Element x y z (fractional)
Hf 0.000 0.000 0.000
Hf 0.750 0.250 0.500
Mo 0.159 0.625 0.034
Mo 0.375 0.409 0.534
Mo 0.591 0.125 0.966
Mo 0.875 0.841 0.466
Ir 0.250 0.750 0.500
Ir 0.500 0.500 0.000

The following is a GGA-PBE calculation of a geometry-optimized BaNb3P4N12 structure, from the Alexandria database.

- space group = No. 155
- D(E_F) (states/eV per atom) = 0.206
- formation energy (no corrections) (eV/atom) = -0.448

Lattice parameters (Å, degrees): 6.734 6.734 6.734 105.01 105.01 105.01
Element x y z (fractional)
Ba 0.000 0.000 0.000
Nb 0.000 0.550 0.450
Nb 0.450 0.000 0.550
Nb 0.550 0.450 0.000
P 0.056 0.500 0.944
P 0.500 0.500 0.500
P 0.500 0.944 0.056
P 0.944 0.056 0.500
N 0.025 0.606 0.759
N 0.091 0.909 0.500
N 0.241 0.394 0.975
N 0.350 0.650 0.500
N 0.394 0.975 0.241
N 0.500 0.091 0.909
N 0.500 0.350 0.650
N 0.606 0.759 0.025
N 0.650 0.500 0.350
N 0.759 0.025 0.606
N 0.909 0.500 0.091
N 0.975 0.241 0.394

The following is a GGA-PBE calculation of a geometry-optimized SrCrCoP2 structure, from the Alexandria database.

- space group = No. 119
- DFT formation energy (eV/f.u.) = -3.91
- D(E_F) (states/eV per atom) = 0.518

Lattice parameters (Å, degrees): 6.508 6.508 6.508 145.66 145.66 49.35
Element x y z (fractional)
Sr 0.000 0.000 0.000
Cr 0.750 0.250 0.500
Co 0.250 0.750 0.500
P 0.352 0.352 0.000
P 0.648 0.648 0.000

The following is a GGA-PBE calculation of a geometry-optimized Ce2PrDySb4 structure, from the Alexandria database.

- space group = No. 10
- D(E_F) (states/eV per atom) = 1.797
- formation energy (no corrections) (eV/atom) = -1.100

Lattice parameters (Å, degrees): 7.767 4.482 7.776 90.00 109.45 90.00
Element x y z (fractional)
Ce 0.000 0.000 0.000
Ce 0.500 0.500 0.000
Pr 0.000 0.500 0.500
Dy 0.500 0.000 0.500
Sb 0.256 0.000 0.752
Sb 0.256 0.500 0.252
Sb 0.744 0.000 0.248
Sb 0.744 0.500 0.748

The following is a GGA-PBE calculation of a geometry-optimized KEuZr2O6 structure, from the Alexandria database.

- space group = No. 225
- D(E_F) (states/eV per atom) = 1.335
- formation energy (no corrections) (eV/atom) = -2.828

Lattice parameters (Å, degrees): 5.934 5.934 5.934 60.00 60.00 60.00
Element x y z (fractional)
K 0.000 0.000 0.000
Eu 0.500 0.500 0.500
Zr 0.250 0.250 0.250
Zr 0.750 0.750 0.750
O 0.000 0.000 0.500
O 0.000 0.500 0.000
O 0.000 0.500 0.500
O 0.500 0.000 0.000
O 0.500 0.000 0.500
O 0.500 0.500 0.000

The following is a GGA-PBE calculation of a geometry-optimized CaY2Mo structure, from the Alexandria database.

- space group = No. 8
- DFT formation energy (eV/f.u.) = 1.92
- D(E_F) (states/eV per atom) = 1.044
- offset from the most stable computed form (meV per atom) = 222

Lattice parameters (Å, degrees): 5.947 5.947 5.997 117.02 117.02 38.33
Element x y z (fractional)
Ca 0.000 0.000 0.000
Y 0.204 0.204 0.723
Y 0.406 0.406 0.407
Mo 0.708 0.708 0.382

The following is a GGA-PBE calculation of a geometry-optimized LiAg2PdN structure, from the Alexandria database.

- space group = No. 123
- D(E_F) (states/eV per atom) = 0.438
- formation energy (no corrections) (eV/atom) = 0.827

Lattice parameters (Å, degrees): 4.639 4.639 3.472 90.00 90.00 90.00
Element x y z (fractional)
Li 0.000 0.000 0.000
Ag 0.000 0.500 0.000
Ag 0.500 0.000 0.000
Pd 0.500 0.500 0.500
N 0.000 0.000 0.500

The following is a GGA-PBE calculation of a geometry-optimized CsNaAlCd2 structure, from the Alexandria database.

- space group = No. 123
- DFT formation energy (eV/f.u.) = 0.37
- D(E_F) (states/eV per atom) = 0.232

Lattice parameters (Å, degrees): 5.497 5.497 5.975 90.00 90.00 90.00
Element x y z (fractional)
Cs 0.000 0.000 0.000
Na 0.500 0.500 0.000
Al 0.500 0.500 0.500
Cd 0.000 0.500 0.500
Cd 0.500 0.000 0.500

The following is a GGA-PBE calculation of a geometry-optimized Sm4AlZn structure, from the Alexandria database.

- space group = No. 123
- DFT formation energy (eV/f.u.) = 0.05
- D(E_F) (states/eV per atom) = 1.547
- offset from the most stable computed form (meV per atom) = 207

Lattice parameters (Å, degrees): 5.056 5.056 7.274 90.00 90.00 90.00
Element x y z (fractional)
Sm 0.000 0.500 0.246
Sm 0.000 0.500 0.754
Sm 0.500 0.000 0.246
Sm 0.500 0.000 0.754
Al 0.000 0.000 0.500
Zn 0.500 0.500 0.000

The following is a GGA-PBE calculation of a geometry-optimized LiTb4Ce3S8 structure, from the Alexandria database.

- space group = No. 166
- D(E_F) (states/eV per atom) = 1.199
- formation energy (no corrections) (eV/atom) = -1.975

Lattice parameters (Å, degrees): 7.922 7.922 7.922 59.90 59.90 59.90
Element x y z (fractional)
Li 0.000 0.000 0.000
Tb 0.000 0.000 0.500
Tb 0.000 0.500 0.000
Tb 0.500 0.000 0.000
Tb 0.500 0.500 0.500
Ce 0.000 0.500 0.500
Ce 0.500 0.000 0.500
Ce 0.500 0.500 0.000
S 0.241 0.753 0.753
S 0.247 0.247 0.247
S 0.247 0.247 0.759
S 0.247 0.759 0.247
S 0.753 0.241 0.753
S 0.753 0.753 0.241
S 0.753 0.753 0.753
S 0.759 0.247 0.247

The following is a GGA-PBE calculation of a geometry-optimized Th6Tc2Sb structure, from the Alexandria database.

- space group = No. 12
- D(E_F) (states/eV per atom) = 1.034
- offset from the most stable computed form (meV per atom) = 121
- formation energy (no corrections) (eV/atom) = -0.089

Lattice parameters (Å, degrees): 6.685 6.685 9.730 121.85 121.85 48.19
Element x y z (fractional)
Th 0.006 0.006 0.177
Th 0.298 0.298 0.877
Th 0.356 0.356 0.491
Th 0.644 0.644 0.509
Th 0.702 0.702 0.123
Th 0.994 0.994 0.823
Tc 0.257 0.257 0.165
Tc 0.743 0.743 0.835
Sb 0.000 0.000 0.500

The following is a GGA-PBE calculation of a geometry-optimized AgHg2C structure, from the Alexandria database.

- space group = No. 122
- DFT formation energy (eV/f.u.) = 4.68
- D(E_F) (states/eV per atom) = 1.083

Lattice parameters (Å, degrees): 7.032 7.032 7.032 130.40 130.40 72.76
Element x y z (fractional)
Ag 0.000 0.000 0.000
Ag 0.750 0.250 0.500
Hg 0.263 0.625 0.138
Hg 0.375 0.513 0.638
Hg 0.487 0.125 0.862
Hg 0.875 0.737 0.362
C 0.250 0.750 0.500
C 0.500 0.500 0.000

The following is a GGA-PBE calculation of a geometry-optimized IrAu structure, from the Alexandria database.

- space group = No. 194
- DFT formation energy (eV/f.u.) = 2.79
- D(E_F) (states/eV per atom) = 2.101
- offset from the most stable computed form (meV per atom) = 1209

Lattice parameters (Å, degrees): 4.440 4.440 5.306 90.00 90.00 120.00
Element x y z (fractional)
Ir 0.333 0.667 0.250
Ir 0.667 0.333 0.750
Au 0.333 0.667 0.750
Au 0.667 0.333 0.250